DFT (PBE) results for Tm3NiOs after structural relaxation.

Calculated values
**Magnetization**: 0.00 μB/atom
**Energy relative to the elements**: -0.226 eV per atom
**Space group**: Pmmn, No. 59
**DFT total energy**: -6.3110 eV per atom

abc: 4.030 6.563 8.467
angles: 90.00 90.00 90.00
Element x y z (fractional)
Tm: 0.750 0.750 0.044
Tm: 0.250 0.250 0.956
Tm: 0.750 0.988 0.669
Tm: 0.750 0.512 0.669
Tm: 0.250 0.012 0.331
Tm: 0.250 0.488 0.331
Ni: 0.750 0.750 0.384
Ni: 0.250 0.250 0.616
Os: 0.750 0.250 0.182
Os: 0.250 0.750 0.818

DFT (PBE) results for Tm4Ni3Os after structural relaxation.

Calculated values
**Magnetization**: 0.00 μB/atom
**Energy relative to the elements**: -0.417 eV per atom
**Space group**: R-3m, No. 166
**DFT total energy**: -6.2240 eV per atom

abc: 4.724 4.724 8.172
angles: 73.20 73.20 60.00
Element x y z (fractional)
Ni: 0.251 0.251 0.247
Ni: 0.749 0.749 0.753
Ni: 0.500 0.500 0.500
Tm: 0.875 0.875 0.374
Tm: 0.375 0.375 0.875
Tm: 0.125 0.125 0.626
Tm: 0.625 0.625 0.125
Os: 0.000 0.000 0.000

DFT (PBE) results for Tm5NiOs after structural relaxation.

Calculated values
**Magnetization**: 0.00 μB/atom
**Energy relative to the elements**: -0.131 eV per atom
**Space group**: C2/c, No. 15
**DFT total energy**: -5.7554 eV per atom

abc: 7.747 7.747 10.150
angles: 63.22 63.22 110.40
Element x y z (fractional)
Tm: 0.732 0.032 0.308
Tm: 0.934 0.088 0.643
Tm: 0.532 0.232 0.808
Tm: 0.074 0.426 0.750
Tm: 0.412 0.566 0.857
Tm: 0.588 0.434 0.143
Tm: 0.926 0.574 0.250
Tm: 0.468 0.768 0.192
Tm: 0.066 0.912 0.357
Tm: 0.268 0.968 0.692
Ni: 0.000 0.000 0.000
Ni: 0.500 0.500 0.500
Os: 0.857 0.643 0.750
Os: 0.143 0.357 0.250

DFT (PBE) results for Tm8Ni2Os after structural relaxation.

Calculated values
**Magnetization**: 0.00 μB/atom
**Energy relative to the elements**: -0.265 eV per atom
**Space group**: C2/m, No. 12
**Relative energy among the computed polymorphs**: 0 meV per atom
**DFT total energy**: -5.5893 eV per atom

abc: 4.934 6.592 8.739
angles: 106.55 106.40 90.00
Element x y z (fractional)
Tm: 0.407 0.555 0.814
Tm: 0.670 0.974 0.340
Tm: 0.800 0.681 0.600
Tm: 0.965 0.204 0.930
Tm: 0.200 0.319 0.400
Tm: 0.330 0.026 0.660
Tm: 0.593 0.445 0.186
Tm: 0.035 0.796 0.070
Ni: 0.813 0.294 0.626
Ni: 0.187 0.706 0.374
Os: 0.500 0.000 0.000